No. 1
## Pm6Nd5Mg (PBE-GGA)

Data for crystalline Pm6Nd5Mg at its relaxed geometry.

Unit cell a=6.2919 b=10.9022 c=12.0297 alpha=90.00 beta=100.08 gamma=90.00
Space group C2/m (No. 12)
Symmetry-distinct sites (fractional):
Pm (0.2477, 0.0000, 0.2510) x4
Pm (0.2476, 0.1652, 0.7477) x8
Nd (0.0000, 0.1668, 0.0000) x4
Nd (0.0000, 0.3326, 0.5000) x4
Nd (0.0000, 0.5000, 0.0000) x2
Mg (0.0000, 0.0000, 0.5000) x2

Summary:
Total magnetization ... 0.00 μB/atom
E_form ... 0.02 eV/atom



No. 2
## PmNd7Mg2 (PBE-GGA)

Data for crystalline PmNd7Mg2 at its relaxed geometry.

Unit cell a=8.9135 b=16.6272 c=5.4302 alpha=90.00 beta=90.00 gamma=90.00
Space group Cmmm (No. 65)
Symmetry-distinct sites (fractional):
Pm (0.0000, 0.0000, 0.0000) x2
Nd (0.0000, 0.2146, 0.0000) x4
Nd (0.0000, 0.5000, 0.5000) x2
Nd (0.1844, 0.1155, 0.5000) x8
Mg (0.0000, 0.2980, 0.5000) x4

Summary:
Total magnetization ... 0.00 μB/atom
E_form ... 0.52 eV/atom



No. 3
## Pm7Nd2Mg2 (PBE-GGA)

Data for crystalline Pm7Nd2Mg2 at its relaxed geometry.

Unit cell a=3.6531 b=17.7141 c=11.5328 alpha=90.00 beta=90.00 gamma=90.00
Space group Imm2 (No. 44)
Symmetry-distinct sites (fractional):
Pm (0.0000, 0.0000, 0.0000) x2
Pm (0.0000, 0.1101, 0.5557) x4
Pm (0.0000, 0.3256, 0.3080) x4
Pm (0.0000, 0.3437, 0.7962) x4
Nd (0.0000, 0.2130, 0.0528) x4
Mg (0.0000, 0.0000, 0.3010) x2
Mg (0.0000, 0.5000, 0.2472) x2

Summary:
Total magnetization ... 0.00 μB/atom
E_form ... 0.11 eV/atom



No. 4
## Pm2Nd2Mg15 (PBE-GGA)

Data for crystalline Pm2Nd2Mg15 at its relaxed geometry.

Unit cell a=10.6001 b=10.6001 c=15.3069 alpha=90.00 beta=90.00 gamma=120.00
Space group R-3m (No. 166, hexagonal axes)
Symmetry-distinct sites (fractional):
Pm (0.0000, 0.0000, 0.0963) x6
Nd (0.0000, 0.0000, 0.3330) x6
Mg (0.0000, 0.3009, 0.0000) x18
Mg (0.0000, 0.5000, 0.5000) x9
Mg (0.0097, 0.5049, 0.1490) x18

Summary:
Total magnetization ... 0.00 μB/atom
E_form ... 0.00 eV/atom



No. 5
## Pm5Nd6Mg2 (PBE-GGA)

Data for crystalline Pm5Nd6Mg2 at its relaxed geometry.

Unit cell a=10.6816 b=23.1277 c=3.5862 alpha=90.00 beta=90.00 gamma=90.00
Space group Pbam (No. 55)
Symmetry-distinct sites (fractional):
Pm (0.0000, 0.0000, 0.0000) x2
Pm (0.0835, 0.2513, 0.0000) x4
Pm (0.1671, 0.5055, 0.0000) x4
Nd (0.0179, 0.3867, 0.5000) x4
Nd (0.1473, 0.1178, 0.5000) x4
Nd (0.1673, 0.8658, 0.0000) x4
Mg (0.1664, 0.7389, 0.5000) x4

Summary:
Total magnetization ... 0.00 μB/atom
E_form ... 0.12 eV/atom



No. 6
## Pm15Nd2Mg2 (PBE-GGA)

Data for crystalline Pm15Nd2Mg2 at its relaxed geometry.

Unit cell a=11.3858 b=11.3858 c=17.5752 alpha=90.00 beta=90.00 gamma=120.00
Space group R-3m (No. 166, hexagonal axes)
Symmetry-distinct sites (fractional):
Pm (0.0000, 0.2952, 0.0000) x18
Pm (0.0000, 0.5000, 0.5000) x9
Pm (0.0123, 0.5062, 0.1416) x18
Nd (0.0000, 0.0000, 0.3198) x6
Mg (0.0000, 0.0000, 0.0931) x6

Summary:
Total magnetization ... 0.00 μB/atom
E_form ... 0.20 eV/atom



No. 7
## Pm14NdMg (PBE-GGA)

Data for crystalline Pm14NdMg at its relaxed geometry.

Unit cell a=10.2786 b=10.2384 c=10.2379 alpha=90.00 beta=90.00 gamma=90.00
Space group Amm2 (No. 38)
Symmetry-distinct sites (fractional):
Pm (0.0000, 0.0000, 0.0000) x2
Pm (0.0000, 0.0000, 0.4998) x2
Pm (0.0000, 0.2500, 0.2500) x4
Pm (0.2521, 0.0000, 0.2490) x4
Pm (0.2519, 0.0000, 0.7508) x4
Pm (0.2519, 0.2491, 0.9999) x8
Pm (0.5000, 0.2499, 0.2499) x4
Nd (0.5000, 0.0000, 0.5001) x2
Mg (0.5000, 0.0000, 0.9993) x2

Summary:
Total magnetization ... 0.00 μB/atom
E_form ... 0.01 eV/atom



No. 8
## PmNd14Mg (PBE-GGA)

Data for crystalline PmNd14Mg at its relaxed geometry.

Unit cell a=7.2903 b=7.2903 c=10.3487 alpha=90.00 beta=90.00 gamma=90.00
Space group P4/mmm (No. 123)
Symmetry-distinct sites (fractional):
Pm (0.0000, 0.0000, 0.0000) x1
Nd (0.0000, 0.0000, 0.5000) x1
Nd (0.0000, 0.5000, 0.0000) x2
Nd (0.0000, 0.5000, 0.5000) x2
Nd (0.2510, 0.2510, 0.2473) x8
Nd (0.5000, 0.5000, 0.5000) x1
Mg (0.5000, 0.5000, 0.0000) x1

Summary:
Total magnetization ... 0.00 μB/atom
E_form ... 0.01 eV/atom



No. 9
## Pm2NdMg2 (PBE-GGA)

Data for crystalline Pm2NdMg2 at its relaxed geometry.

Unit cell a=3.8519 b=5.5663 c=14.3036 alpha=90.00 beta=97.77 gamma=90.00
Space group P2_1/m (No. 11)
Symmetry-distinct sites (fractional):
Pm (0.0453, 0.2500, 0.0902) x2
Pm (0.2367, 0.2500, 0.4748) x2
Nd (0.1502, 0.7500, 0.2979) x2
Mg (0.3587, 0.7500, 0.7189) x2
Mg (0.4489, 0.2500, 0.8967) x2

Summary:
Total magnetization ... 0.00 μB/atom
E_form ... -0.08 eV/atom



No. 10
## Pm4Nd4Mg (PBE-GGA)

Data for crystalline Pm4Nd4Mg at its relaxed geometry.

Unit cell a=6.6640 b=8.6825 c=11.6299 alpha=99.98 beta=98.72 gamma=109.81
Space group P-1 (No. 2)
Symmetry-distinct sites (fractional):
Pm (0.0135, 0.2175, 0.4878) x2
Pm (0.1098, 0.5006, 0.2875) x2
Pm (0.1504, 0.9404, 0.2582) x2
Pm (0.2384, 0.6566, 0.0195) x2
Nd (0.2275, 0.2190, 0.0625) x2
Nd (0.3254, 0.9403, 0.8271) x2
Nd (0.3460, 0.3664, 0.7934) x2
Nd (0.4406, 0.6506, 0.6105) x2
Mg (0.4485, 0.1176, 0.5864) x2

Summary:
Total magnetization ... 0.00 μB/atom
E_form ... 0.02 eV/atom



No. 11
## Pm4NdMg (PBE-GGA)

Data for crystalline Pm4NdMg at its relaxed geometry.

Unit cell a=6.4968 b=6.9666 c=9.0651 alpha=90.00 beta=104.57 gamma=90.00
Space group P2_1/m (No. 11)
Symmetry-distinct sites (fractional):
Pm (0.1049, 0.0006, 0.3017) x4
Pm (0.3080, 0.2500, 0.0030) x2
Pm (0.3796, 0.2500, 0.6505) x2
Nd (0.3678, 0.7500, 0.6455) x2
Mg (0.1974, 0.7500, 0.0019) x2

Summary:
Total magnetization ... 0.00 μB/atom
E_form ... 0.05 eV/atom



No. 12
## Pm4Nd7Mg (PBE-GGA)

Data for crystalline Pm4Nd7Mg at its relaxed geometry.

Unit cell a=12.1302 b=6.0047 c=13.0255 alpha=90.00 beta=116.98 gamma=90.00
Space group C2/m (No. 12)
Symmetry-distinct sites (fractional):
Pm (0.1327, 0.0000, 0.2740) x4
Pm (0.1637, 0.5000, 0.1373) x4
Nd (0.0000, 0.0000, 0.5000) x2
Nd (0.0961, 0.5000, 0.7741) x4
Nd (0.1352, 0.0000, 0.9820) x4
Nd (0.2035, 0.5000, 0.4187) x4
Mg (0.0000, 0.5000, 0.5000) x2

Summary:
Total magnetization ... 0.00 μB/atom
E_form ... 0.22 eV/atom



No. 13
## Pm15Nd4Mg (PBE-GGA)

Data for crystalline Pm15Nd4Mg at its relaxed geometry.

Unit cell a=5.1429 b=5.1429 c=25.7421 alpha=90.00 beta=90.00 gamma=90.00
Space group P4/mmm (No. 123)
Symmetry-distinct sites (fractional):
Pm (0.0000, 0.0000, 0.0000) x1
Pm (0.0000, 0.0000, 0.1956) x2
Pm (0.0000, 0.0000, 0.3986) x2
Pm (0.0000, 0.5000, 0.0967) x4
Pm (0.0000, 0.5000, 0.2979) x4
Pm (0.0000, 0.5000, 0.5000) x2
Nd (0.5000, 0.5000, 0.1966) x2
Nd (0.5000, 0.5000, 0.3991) x2
Mg (0.5000, 0.5000, 0.0000) x1

Summary:
Total magnetization ... 0.00 μB/atom
E_form ... 0.01 eV/atom



No. 14
## Pm3Nd2Mg3 (PBE-GGA)

Data for crystalline Pm3Nd2Mg3 at its relaxed geometry.

Unit cell a=3.8845 b=5.5526 c=22.7970 alpha=90.00 beta=90.00 gamma=90.00
Space group Immm (No. 71)
Symmetry-distinct sites (fractional):
Pm (0.0000, 0.0000, 0.0000) x2
Pm (0.0000, 0.5000, 0.1223) x4
Nd (0.0000, 0.0000, 0.2350) x4
Mg (0.0000, 0.0000, 0.5000) x2
Mg (0.0000, 0.5000, 0.3836) x4

Summary:
Total magnetization ... 0.00 μB/atom
E_form ... -0.07 eV/atom



No. 15
## Pm5Nd4Mg2 (PBE-GGA)

Data for crystalline Pm5Nd4Mg2 at its relaxed geometry.

Unit cell a=8.8742 b=3.5119 c=11.6628 alpha=90.00 beta=94.18 gamma=90.00
Space group P2/m (No. 10)
Symmetry-distinct sites (fractional):
Pm (0.0000, 0.0000, 0.0000) x1
Pm (0.0692, 0.0000, 0.2946) x2
Pm (0.2953, 0.0000, 0.8320) x2
Nd (0.2186, 0.5000, 0.5480) x2
Nd (0.3518, 0.5000, 0.1149) x2
Mg (0.4470, 0.0000, 0.3685) x2

Summary:
Total magnetization ... 0.00 μB/atom
E_form ... 0.06 eV/atom



No. 16
## Pm8NdMg2 (PBE-GGA)

Data for crystalline Pm8NdMg2 at its relaxed geometry.

Unit cell a=17.2188 b=5.3689 c=8.4718 alpha=90.00 beta=113.21 gamma=90.00
Space group C2/m (No. 12)
Symmetry-distinct sites (fractional):
Pm (0.0524, 0.0000, 0.2349) x4
Pm (0.0990, 0.5000, 0.9677) x4
Pm (0.1476, 0.0000, 0.7038) x4
Pm (0.1865, 0.5000, 0.4503) x4
Nd (0.0000, 0.5000, 0.5000) x2
Mg (0.2252, 0.0000, 0.1296) x4

Summary:
Total magnetization ... 0.00 μB/atom
E_form ... 0.01 eV/atom



No. 17
## Pm4NdMg (PBE-GGA)

Data for crystalline Pm4NdMg at its relaxed geometry.

Unit cell a=3.6715 b=3.6715 c=14.6032 alpha=90.00 beta=90.00 gamma=90.00
Space group P4/mmm (No. 123)
Symmetry-distinct sites (fractional):
Pm (0.0000, 0.0000, 0.1492) x2
Pm (0.5000, 0.5000, 0.3220) x2
Nd (0.0000, 0.0000, 0.5000) x1
Mg (0.5000, 0.5000, 0.0000) x1

Summary:
Total magnetization ... 0.00 μB/atom
E_form ... -0.02 eV/atom



No. 18
## PmNd7Mg2 (PBE-GGA)

Data for crystalline PmNd7Mg2 at its relaxed geometry.

Unit cell a=8.9016 b=3.4344 c=11.7562 alpha=90.00 beta=111.09 gamma=90.00
Space group P2/m (No. 10)
Symmetry-distinct sites (fractional):
Pm (0.0000, 0.0000, 0.0000) x1
Nd (0.0000, 0.5000, 0.5000) x1
Nd (0.1942, 0.5000, 0.8080) x2
Nd (0.2186, 0.5000, 0.3077) x2
Nd (0.3972, 0.0000, 0.6148) x2
Mg (0.3994, 0.5000, 0.1023) x2

Summary:
Total magnetization ... 0.00 μB/atom
E_form ... 0.14 eV/atom



No. 19
## Pm4NdMg3 (PBE-GGA)

Data for crystalline Pm4NdMg3 at its relaxed geometry.

Unit cell a=3.8243 b=5.6143 c=11.3397 alpha=90.00 beta=90.00 gamma=90.00
Space group Pmmm (No. 47)
Symmetry-distinct sites (fractional):
Pm (0.0000, 0.0000, 0.0000) x1
Pm (0.0000, 0.0000, 0.5000) x1
Pm (0.0000, 0.5000, 0.2354) x2
Nd (0.5000, 0.5000, 0.5000) x1
Mg (0.5000, 0.0000, 0.2485) x2
Mg (0.5000, 0.5000, 0.0000) x1

Summary:
Total magnetization ... 0.00 μB/atom
E_form ... -0.03 eV/atom